A geometry-optimized Sm8DyIn6 structure, computed with GGA-PBE.

Properties
Space group: No. 148
Crystal system: trigonal
E_form, meV/atom: -233.9
D(E_F), states/eV/cell: 23.0

abc: 8.4456 8.4456 8.4456
angles: 65.68 65.68 65.68
Last column: nearest neighbours and their distance in Å.
Element x y z (fractional)
Sm1 0.0513 0.3858 0.7192  5 In 3.22-3.36
Sm2 0.1660 0.1660 0.1660  6 In 3.26
Sm3 0.2808 0.9487 0.6142  5 In 3.22-3.36
Sm4 0.3858 0.7192 0.0513  5 In 3.22-3.36
Sm5 0.6142 0.2808 0.9487  5 In 3.22-3.36
Sm6 0.7192 0.0513 0.3858  5 In 3.22-3.36
Sm7 0.8340 0.8340 0.8340  6 In 3.26
Sm8 0.9487 0.6142 0.2808  5 In 3.22-3.36
Dy1 0.5000 0.5000 0.5000  6 In 3.21
In1 0.1145 0.7740 0.4445  1 Dy 3.21, 7 Sm 3.22-3.36
In2 0.2260 0.5555 0.8855  1 Dy 3.21, 7 Sm 3.22-3.36
In3 0.4445 0.1145 0.7740  1 Dy 3.21, 7 Sm 3.22-3.36
In4 0.5555 0.8855 0.2260  1 Dy 3.21, 7 Sm 3.22-3.36
In5 0.7740 0.4445 0.1145  1 Dy 3.21, 7 Sm 3.22-3.36
In6 0.8855 0.2260 0.5555  1 Dy 3.21, 7 Sm 3.22-3.36

A geometry-optimized HoEr2Cd2 structure, computed with GGA-PBE.

Properties
Space group: No. 11
Crystal system: monoclinic
E_form, meV/atom: -255.8
D(E_F), states/eV/cell: 8.9

abc: 3.6953 5.2986 13.7487
angles: 90.00 97.70 90.00
Last column: nearest neighbours and their distance in Å.
Element x y z (fractional)
Ho1 0.1487 0.2500 0.2982  6 Cd 3.24-3.25, 2 Er 3.56
Ho2 0.8513 0.7500 0.7018  6 Cd 3.24-3.25, 2 Er 3.56
Er1 0.0460 0.7500 0.0917  8 Cd 3.19-3.23
Er2 0.2368 0.7500 0.4728  2 Cd 3.18-3.19, 4 Er 3.31-3.32, 2 Ho 3.56
Er3 0.7632 0.2500 0.5272  2 Cd 3.18-3.19, 4 Er 3.31-3.32, 2 Ho 3.56
Er4 0.9540 0.2500 0.9083  8 Cd 3.19-3.23
Cd1 0.3588 0.2500 0.7175  4 Er 3.18-3.19, 4 Ho 3.24
Cd2 0.4492 0.7500 0.8982  6 Er 3.22-3.23, 2 Ho 3.25
Cd3 0.5508 0.2500 0.1018  6 Er 3.22-3.23, 2 Ho 3.25
Cd4 0.6412 0.7500 0.2825  4 Er 3.18-3.19, 4 Ho 3.24

A geometry-optimized ZnTc structure, computed with GGA-PBE.

Properties
Space group: No. 225
Crystal system: cubic
E_form, meV/atom: 898.7
E above lowest polymorph, meV per atom: 939
D(E_F), states/eV/cell: 9.6

abc: 5.0394 5.0394 5.0394
angles: 90.00 90.00 90.00
Last column: nearest neighbours and their distance in Å.
Element x y z (fractional)
Zn1 0.0000 0.0000 0.0000  6 Tc 2.52
Zn2 0.0000 0.5000 0.5000  6 Tc 2.52
Zn3 0.5000 0.0000 0.5000  6 Tc 2.52
Zn4 0.5000 0.5000 0.0000  6 Tc 2.52
Tc1 0.0000 0.0000 0.5000  6 Zn 2.52
Tc2 0.0000 0.5000 0.0000  6 Zn 2.52
Tc3 0.5000 0.0000 0.0000  6 Zn 2.52
Tc4 0.5000 0.5000 0.5000  6 Zn 2.52

A geometry-optimized Sm2TmZr structure, computed with GGA-PBE.

Properties
Space group: No. 166
Crystal system: trigonal
E_form, meV/atom: 296.2
E above lowest polymorph, meV per atom: 188
D(E_F), states/eV/cell: 14.6

abc: 3.3811 3.3811 36.0985
angles: 90.00 90.00 120.00
Last column: nearest neighbours and their distance in Å.
Element x y z (fractional)
Sm1 0.0000 0.0000 0.0864  1 Zr 3.12, 6 Sm 3.38
Sm2 0.0000 0.0000 0.9136  1 Zr 3.12, 6 Sm 3.38
Sm3 0.3333 0.6667 0.5803  1 Zr 3.12, 6 Sm 3.38
Sm4 0.3333 0.6667 0.7531  1 Zr 3.12, 6 Sm 3.38
Sm5 0.6667 0.3333 0.2469  1 Zr 3.12, 6 Sm 3.38
Sm6 0.6667 0.3333 0.4197  1 Zr 3.12, 6 Sm 3.38
Tm1 0.0000 0.0000 0.5000  6 Tm 3.38, 6 Sm 3.49
Tm2 0.3333 0.6667 0.1667  6 Tm 3.38, 6 Sm 3.49
Tm3 0.6667 0.3333 0.8333  6 Tm 3.38, 6 Sm 3.49
Zr1 0.0000 0.0000 0.0000  2 Sm 3.12, 6 Zr 3.38
Zr2 0.3333 0.6667 0.6667  2 Sm 3.12, 6 Zr 3.38
Zr3 0.6667 0.3333 0.3333  2 Sm 3.12, 6 Zr 3.38

A geometry-optimized Co2MoAuN structure, computed with GGA-PBE.

Properties
Space group: No. 123
ΔE_f (raw), meV per atom: 37
Crystal system: tetragonal
D(E_F), states/eV/cell: 3.7

abc: 3.9170 3.9170 4.0591
angles: 90.00 90.00 90.00
Last column: nearest neighbours and their distance in Å.
Element x y z (fractional)
Co1 0.0000 0.5000 0.0000  2 N 1.96
Co2 0.5000 0.0000 0.0000  2 N 1.96
Mo1 0.0000 0.0000 0.5000  2 N 2.03
Au1 0.5000 0.5000 0.5000  4 Mo 2.77, 8 Co 2.82
N1 0.0000 0.0000 0.0000  4 Co 1.96, 2 Mo 2.03

A geometry-optimized Ac12NdNi6 structure, computed with GGA-PBE.

Properties
Space group: No. 204
Crystal system: cubic
E_form, meV/atom: -165.7
D(E_F), states/eV/cell: 21.9

abc: 9.3200 9.3200 9.3200
angles: 109.47 109.47 109.47
Last column: nearest neighbours and their distance in Å.
Element x y z (fractional)
Ac1 0.1316 0.3148 0.8168  3 Ni 2.93-3.07
Ac2 0.1832 0.4980 0.3148  3 Ni 2.93-3.07
Ac3 0.1832 0.8684 0.6852  3 Ni 2.93-3.07
Ac4 0.3148 0.1832 0.4980  3 Ni 2.93-3.07
Ac5 0.3148 0.8168 0.1316  3 Ni 2.93-3.07
Ac6 0.4980 0.3148 0.1832  3 Ni 2.93-3.07
Ac7 0.5020 0.6852 0.8168  3 Ni 2.93-3.07
Ac8 0.6852 0.1832 0.8684  3 Ni 2.93-3.07
Ac9 0.6852 0.8168 0.5020  3 Ni 2.93-3.07
Ac10 0.8168 0.1316 0.3148  3 Ni 2.93-3.07
Ac11 0.8168 0.5020 0.6852  3 Ni 2.93-3.07
Ac12 0.8684 0.6852 0.1832  3 Ni 2.93-3.07
Nd1 0.0000 0.0000 0.0000  12 Ac 3.92
Ni1 0.1170 0.5000 0.6170  1 Ni 2.52
Ni2 0.3830 0.8830 0.5000  1 Ni 2.52
Ni3 0.5000 0.3830 0.8830  1 Ni 2.52
Ni4 0.5000 0.6170 0.1170  1 Ni 2.52
Ni5 0.6170 0.1170 0.5000  1 Ni 2.52
Ni6 0.8830 0.5000 0.3830  1 Ni 2.52

A geometry-optimized Sn2Te2Rh structure, computed with GGA-PBE.

Properties
Space group: No. 139
ΔE_f (raw), meV per atom: 425
Crystal system: tetragonal
E above lowest polymorph, meV per atom: 657
D(E_F), states/eV/cell: 7.4

abc: 4.0032 4.0032 17.9347
angles: 90.00 90.00 90.00
Last column: nearest neighbours and their distance in Å.
Element x y z (fractional)
Sn1 0.0000 0.0000 0.0800  1 Sn 2.87, 4 Rh 3.17
Sn2 0.0000 0.0000 0.9200  1 Sn 2.87, 4 Rh 3.17
Sn3 0.5000 0.5000 0.4200  1 Sn 2.87, 4 Rh 3.17
Sn4 0.5000 0.5000 0.5800  1 Sn 2.87, 4 Rh 3.17
Te1 0.0000 0.5000 0.2500  4 Te 2.83
Te2 0.0000 0.5000 0.7500  4 Te 2.83
Te3 0.5000 0.0000 0.2500  4 Te 2.83
Te4 0.5000 0.0000 0.7500  4 Te 2.83
Rh1 0.0000 0.0000 0.5000  8 Sn 3.17
Rh2 0.5000 0.5000 0.0000  8 Sn 3.17

A geometry-optimized Tl2OsRh structure, computed with GGA-PBE.

Properties
Space group: No. 25
Crystal system: orthorhombic
E_form, meV/atom: 519.2
E above lowest polymorph, meV per atom: 24
D(E_F), states/eV/cell: 3.1

abc: 2.8993 3.6822 8.1445
angles: 90.00 90.00 90.00
Last column: nearest neighbours and their distance in Å.
Element x y z (fractional)
Tl1 0.0000 0.0000 0.0000  2 Tl 2.90, 4 Rh 3.17, 1 Os 3.19
Tl2 0.5000 0.5000 0.3487  2 Tl 2.90, 4 Os 3.16, 1 Rh 3.17
Os1 0.0000 0.0000 0.6084  4 Rh 2.57
Rh1 0.5000 0.5000 0.7378  4 Os 2.57